Record 1
ZnTcBIr2 after structural relaxation, computed with PBE.

- Formation enthalpy at 0 K: 1.670 eV per atom
- N(E_F): 3.8 states/eV per cell

abc: 4.6315 4.6315 3.7003
angles: 90.00 90.00 90.00
Atoms (fractional coordinates):
Zn 0.0000 0.0000 0.0000
Tc 0.5000 0.5000 0.5000
B 0.0000 0.0000 0.5000
Ir 0.0000 0.5000 0.0000
Ir 0.5000 0.0000 0.0000

Record 2
Ti2Be2Hg after structural relaxation, computed with PBE.

- Formation enthalpy at 0 K: -0.139 eV per atom
- ΔE to the lowest computed polymorph: 0 meV per atom
- N(E_F): 4.2 states/eV per cell

abc: 6.2077 6.2077 3.6449
angles: 90.00 90.00 90.00
Atoms (fractional coordinates):
Ti 0.1641 0.3359 0.0000
Ti 0.3359 0.8359 0.0000
Ti 0.6641 0.1641 0.0000
Ti 0.8359 0.6641 0.0000
Be 0.1226 0.6226 0.5000
Be 0.3774 0.1226 0.5000
Be 0.6226 0.8774 0.5000
Be 0.8774 0.3774 0.5000
Hg 0.0000 0.0000 0.5000
Hg 0.5000 0.5000 0.5000

Total DFT energy (no corrections) (computed, eV per atom): -5.54; -4.85